A plane-wave DFT calculation with SCAN was carried out for a crystal of Mg4AlB10 relaxed with PBEsol.

Lattice parameters (Å, degrees): 3.0511 3.0511 17.1956 90.00 90.00 120.00
Space group P6/mmm (No. 191)
Asymmetric unit:
Mg  0.0000  0.0000  0.1014 x2
Mg  0.0000  0.0000  0.3035 x2
Al  0.0000  0.0000  0.5000 x1
B  0.3333  0.6667  0.0000 x2
B  0.3333  0.6667  0.2036 x4
B  0.3333  0.6667  0.4089 x4

Results
For the density of states at the Fermi level, the calculation gives 0.129 states/eV/atom. Its raw total energy is -104.76 eV for the cell shown.

=====

A plane-wave DFT calculation with SCAN was carried out for a crystal of ZnSiPb2 relaxed with PBEsol.

Lattice parameters (Å, degrees): 3.340 5.261 10.312 90.00 90.00 90.00
Space group Imm2 (No. 44)
Asymmetric unit:
Zn  0.000  0.000  0.000 x2
Si  0.000  0.500  0.686 x2
Pb  0.000  0.000  0.443 x2
Pb  0.000  0.500  0.241 x2

Results
For the density of states at the Fermi level, the calculation gives 0.463 states/eV/atom. As for the energy above the most stable polymorph in this dataset: 0.000 kcal/mol of atoms.

=====

A plane-wave DFT calculation with SCAN was carried out for a crystal of LaAl4In relaxed with PBEsol.

Lattice parameters (Å, degrees): 7.958 7.958 7.958 90.00 90.00 90.00
Space group F-43m (No. 216)
Asymmetric unit:
La  0.000  0.000  0.000 x4
Al  0.125  0.125  0.625 x16
In  0.250  0.250  0.250 x4

Results
For the density of states at the Fermi level, the calculation gives 0.860 states/eV/atom. Its raw total energy is -434.26 eV for the cell shown.

=====

A plane-wave DFT calculation with SCAN was carried out for a crystal of MnIn2Hg relaxed with PBEsol.

Lattice parameters (Å, degrees): 3.2038 3.2038 27.5767 90.00 90.00 120.00
Space group R-3m (No. 166, hexagonal axes)
Asymmetric unit:
Mn  0.0000  0.0000  0.0000 x3
In  0.0000  0.0000  0.2574 x6
Hg  0.0000  0.0000  0.5000 x3

Results
For the density of states at the Fermi level, the calculation gives 0.476 states/eV/atom. Its raw total energy is -458.68 eV for the cell shown.

=====

A plane-wave DFT calculation with SCAN was carried out for a crystal of Li3Ni relaxed with PBEsol.

Lattice parameters (Å, degrees): 2.596 8.778 4.662 90.00 90.00 90.00
Space group Imm2 (No. 44)
Asymmetric unit:
Li  0.000  0.000  0.000 x2
Li  0.000  0.232  0.356 x4
Ni  0.000  0.500  0.019 x2

Results
For the density of states at the Fermi level, the calculation gives 0.448 states/eV/atom. Its raw total energy is -45.73 eV for the cell shown.

=====

A plane-wave DFT calculation with SCAN was carried out for a crystal of Rb3HgPt relaxed with PBEsol.

Lattice parameters (Å, degrees): 6.276 6.276 6.276 90.00 90.00 90.00
Space group Pm-3m (No. 221)
Asymmetric unit:
Rb  0.000  0.000  0.500 x3
Hg  0.000  0.000  0.000 x1
Pt  0.500  0.500  0.500 x1

Results
For the density of states at the Fermi level, the calculation gives 0.701 states/eV/atom. Its raw total energy is -198.26 eV for the cell shown.